# GdPuThMg | Alexandria via LeMat-Bulk | PBE | relaxed
data_GdPuThMg
_symmetry_space_group_name_H-M 'P 1'
_symmetry_Int_Tables_number 1
_cell_length_a 5.4588
_cell_length_b 5.4588
_cell_length_c 5.4588
_cell_angle_alpha 60.00
_cell_angle_beta 60.00
_cell_angle_gamma 60.00
loop_
_symmetry_equiv_pos_as_xyz
'x,y,z'
loop_
_atom_site_label
_atom_site_type_symbol
_atom_site_fract_x
_atom_site_fract_y
_atom_site_fract_z
_atom_site_occupancy
Mg1 Mg 0.5000 0.5000 0.5000 1
Gd1 Gd 0.7500 0.7500 0.7500 1
Th1 Th 0.2500 0.2500 0.2500 1
Pu1 Pu 0.0000 0.0000 0.0000 1
# E: -9.188 eV per atom

# GdYPuMg | Alexandria via LeMat-Bulk | PBE | relaxed
data_GdYPuMg
_symmetry_space_group_name_H-M 'P 1'
_symmetry_Int_Tables_number 1
_cell_length_a 5.4822
_cell_length_b 5.4822
_cell_length_c 5.4822
_cell_angle_alpha 60.00
_cell_angle_beta 60.00
_cell_angle_gamma 60.00
loop_
_symmetry_equiv_pos_as_xyz
'x,y,z'
loop_
_atom_site_label
_atom_site_type_symbol
_atom_site_fract_x
_atom_site_fract_y
_atom_site_fract_z
_atom_site_occupancy
Y1 Y 0.0000 0.0000 0.0000 1
Mg1 Mg 0.7500 0.7500 0.7500 1
Gd1 Gd 0.5000 0.5000 0.5000 1
Pu1 Pu 0.2500 0.2500 0.2500 1
# E: -8.975 eV per atom

# RbGd2Mg | Alexandria via LeMat-Bulk | PBE | relaxed
data_RbGd2Mg
_symmetry_space_group_name_H-M 'P 1'
_symmetry_Int_Tables_number 1
_cell_length_a 3.6276
_cell_length_b 3.6276
_cell_length_c 13.1294
_cell_angle_alpha 82.06
_cell_angle_beta 82.06
_cell_angle_gamma 60.00
loop_
_symmetry_equiv_pos_as_xyz
'x,y,z'
loop_
_atom_site_label
_atom_site_type_symbol
_atom_site_fract_x
_atom_site_fract_y
_atom_site_fract_z
_atom_site_occupancy
Mg1 Mg 0.5000 0.5000 0.5000 1
Gd1 Gd 0.0995 0.0995 0.7014 1
Gd2 Gd 0.9005 0.9005 0.2986 1
Rb1 Rb 0.0000 0.0000 0.0000 1
# E: -7.362 eV per atom

# GdThMgRe | Alexandria via LeMat-Bulk | PBE | relaxed
data_GdThMgRe
_symmetry_space_group_name_H-M 'P 1'
_symmetry_Int_Tables_number 1
_cell_length_a 5.1330
_cell_length_b 5.1330
_cell_length_c 5.1330
_cell_angle_alpha 60.00
_cell_angle_beta 60.00
_cell_angle_gamma 60.00
loop_
_symmetry_equiv_pos_as_xyz
'x,y,z'
loop_
_atom_site_label
_atom_site_type_symbol
_atom_site_fract_x
_atom_site_fract_y
_atom_site_fract_z
_atom_site_occupancy
Re1 Re 0.2500 0.2500 0.2500 1
Mg1 Mg 0.7500 0.7500 0.7500 1
Gd1 Gd 0.0000 0.0000 0.0000 1
Th1 Th 0.5000 0.5000 0.5000 1
# E: -8.766 eV per atom

# Gd2MgRh | Alexandria via LeMat-Bulk | PBE | relaxed
data_Gd2MgRh
_symmetry_space_group_name_H-M 'P 1'
_symmetry_Int_Tables_number 1
_cell_length_a 5.0994
_cell_length_b 5.0994
_cell_length_c 5.0994
_cell_angle_alpha 60.00
_cell_angle_beta 60.00
_cell_angle_gamma 60.00
loop_
_symmetry_equiv_pos_as_xyz
'x,y,z'
loop_
_atom_site_label
_atom_site_type_symbol
_atom_site_fract_x
_atom_site_fract_y
_atom_site_fract_z
_atom_site_occupancy
Mg1 Mg 0.0000 0.0000 0.0000 1
Gd1 Gd 0.2500 0.2500 0.2500 1
Gd2 Gd 0.7500 0.7500 0.7500 1
Rh1 Rh 0.5000 0.5000 0.5000 1
# polymorph energy (0 for the lowest one): 0.32 eV per formula unit
# E: -9.650 eV per atom

# Gd3MgRh | Alexandria via LeMat-Bulk | PBE | relaxed
data_Gd3MgRh
_symmetry_space_group_name_H-M 'P 1'
_symmetry_Int_Tables_number 1
_cell_length_a 5.4193
_cell_length_b 5.4193
_cell_length_c 5.4193
_cell_angle_alpha 90.00
_cell_angle_beta 90.00
_cell_angle_gamma 90.00
loop_
_symmetry_equiv_pos_as_xyz
'x,y,z'
loop_
_atom_site_label
_atom_site_type_symbol
_atom_site_fract_x
_atom_site_fract_y
_atom_site_fract_z
_atom_site_occupancy
Mg1 Mg 0.5000 0.5000 0.5000 1
Gd1 Gd 0.0000 0.5000 0.0000 1
Gd2 Gd 0.0000 0.0000 0.5000 1
Gd3 Gd 0.5000 0.0000 0.0000 1
Rh1 Rh 0.0000 0.0000 0.0000 1
# E: -10.476 eV per atom

# Gd2MgRh | Alexandria via LeMat-Bulk | PBE | relaxed
data_Gd2MgRh
_symmetry_space_group_name_H-M 'P 1'
_symmetry_Int_Tables_number 1
_cell_length_a 3.5601
_cell_length_b 3.5601
_cell_length_c 7.7547
_cell_angle_alpha 90.00
_cell_angle_beta 90.00
_cell_angle_gamma 90.00
loop_
_symmetry_equiv_pos_as_xyz
'x,y,z'
loop_
_atom_site_label
_atom_site_type_symbol
_atom_site_fract_x
_atom_site_fract_y
_atom_site_fract_z
_atom_site_occupancy
Mg1 Mg 0.5000 0.5000 0.5000 1
Gd1 Gd 0.0000 0.0000 0.7894 1
Gd2 Gd 0.0000 0.0000 0.2106 1
Rh1 Rh 0.5000 0.5000 0.0000 1
# polymorph energy (0 for the lowest one): 0.00 eV per formula unit
# E: -9.731 eV per atom

# GdMgRh2 | Alexandria via LeMat-Bulk | PBE | relaxed
data_GdMgRh2
_symmetry_space_group_name_H-M 'P 1'
_symmetry_Int_Tables_number 1
_cell_length_a 3.4408
_cell_length_b 4.5662
_cell_length_c 4.5662
_cell_angle_alpha 90.00
_cell_angle_beta 90.00
_cell_angle_gamma 90.00
loop_
_symmetry_equiv_pos_as_xyz
'x,y,z'
loop_
_atom_site_label
_atom_site_type_symbol
_atom_site_fract_x
_atom_site_fract_y
_atom_site_fract_z
_atom_site_occupancy
Mg1 Mg 0.5000 0.5000 0.5000 1
Gd1 Gd 0.5000 0.0000 0.0000 1
Rh1 Rh 0.0000 0.0000 0.5000 1
Rh2 Rh 0.0000 0.5000 0.0000 1
# E: -8.275 eV per atom

Number 1: V 28.8 Å³ per atom, mass density 9.5 g/cm³, energy of formation from the pure elements 169 meV per atom. Number 2: V 29.1 Å³ per atom, mass density 7.3 g/cm³, energy of formation from the pure elements 143 meV per atom. Number 3: V 36.9 Å³ per atom, mass density 4.8 g/cm³, energy of formation from the pure elements 319 meV per atom. Number 4: V 23.9 Å³ per atom, mass density 10.4 g/cm³, energy of formation from the pure elements 120 meV per atom. Number 5: V 23.4 Å³ per atom, mass density 7.8 g/cm³, energy of formation from the pure elements -373 meV per atom. Number 6: V 31.8 Å³ per atom, mass density 6.2 g/cm³, energy of formation from the pure elements -238 meV per atom. Number 7: V 24.6 Å³ per atom, mass density 7.5 g/cm³, energy of formation from the pure elements -454 meV per atom. Number 8: V 17.9 Å³ per atom, mass density 9.0 g/cm³, energy of formation from the pure elements -681 meV per atom.